Model w:
CaClF3 | Alexandria | PBE-GGA | optimized geometry; N(E_F) = 0.0000 states/eV per atom; total magnetic moment = 0.00 μB/f.u.
1.0
2.794 0.265 -2.333
1.668 6.412 -2.960
-4.753 -3.771 15.361
Ca Cl F
2 2 6
direct
0.581 0.381 0.495 Ca
0.787 0.919 0.559 Ca
0.883 0.476 0.020 Cl
0.485 0.824 0.034 Cl
0.512 0.117 0.163 F
0.856 0.183 0.892 F
0.643 0.326 0.630 F
0.602 0.502 0.400 F
0.725 0.974 0.424 F
0.766 0.798 0.654 F

=====

Model x:
CaClF3 | Alexandria | PBE-GGA | optimized geometry; N(E_F) = 0.6220 states/eV per atom; total magnetic moment = 2.00 μB/f.u.
1.0
4.481 0.000 0.000
0.000 4.481 0.000
0.000 0.000 4.481
Ca F Cl
1 3 1
direct
0.000 0.000 0.000 Ca
0.000 0.500 0.000 F
0.000 0.000 0.500 F
0.500 0.000 0.000 F
0.500 0.500 0.500 Cl

=====

Which structure is most stable, and how do the rest compare? From most to least stable: model w, model x.